Computed, not measured: an optimized crystal structure of Ce4H4Ir3 at the GGA-PBE level of DFT.

a b c (Å): 7.946 3.862 12.083
angles (deg): 90.00 90.00 90.00
Space group Amm2 (No. 38)
Symmetry-distinct sites (fractional):
1 Ce 0.000 0.000 0.000 x2
2 Ce 0.242 0.000 0.728 x4
3 Ce 0.500 0.000 0.011 x2
4 H 0.000 0.000 0.612 x2
5 H 0.246 0.000 0.112 x4
6 H 0.500 0.000 0.632 x2
7 Ir 0.000 0.000 0.327 x2
8 Ir 0.332 0.000 0.383 x4

Values from the calculation:
DFT total energy, eV per atom: -6.373
Crystal system: orthorhombic


Computed, not measured: an optimized crystal structure of YHgSI2 at the GGA-PBE level of DFT.

a b c (Å): 5.633 5.633 5.202
angles (deg): 90.00 90.00 90.00
Space group P4/mmm (No. 123)
Symmetry-distinct sites (fractional):
1 Y 0.000 0.000 0.000 x1
2 Hg 0.500 0.500 0.000 x1
3 S 0.500 0.500 0.500 x1
4 I 0.000 0.500 0.500 x2

Values from the calculation:
E_form (uncorrected), eV per formula unit: 1.1
DFT total energy, eV per atom: -2.573
Crystal system: tetragonal


Computed, not measured: an optimized crystal structure of Ce2HoTh3Te6 at the GGA-PBE level of DFT.

a b c (Å): 19.720 4.354 9.089
angles (deg): 90.00 107.26 90.00
Space group C2/m (No. 12)
Symmetry-distinct sites (fractional):
1 Ce 0.167 0.000 0.333 x4
2 Ho 0.000 0.500 0.000 x2
3 Th 0.000 0.500 0.500 x2
4 Th 0.169 0.000 0.832 x4
5 Te 0.001 0.000 0.760 x4
6 Te 0.162 0.500 0.081 x4
7 Te 0.167 0.500 0.579 x4

Values from the calculation:
E_form (uncorrected), eV per formula unit: -14.0
DFT total energy, eV per atom: -5.964
Crystal system: monoclinic


Computed, not measured: an optimized crystal structure of Re2HRu at the GGA-PBE level of DFT.

a b c (Å): 6.140 6.140 5.070
angles (deg): 90.00 90.00 90.00
Space group I-42d (No. 122)
Symmetry-distinct sites (fractional):
1 Re 0.156 0.250 0.125 x8
2 H 0.000 0.000 0.000 x4
3 Ru 0.000 0.000 0.500 x4

Values from the calculation:
DFT total energy, eV per atom: -8.992
Crystal system: tetragonal


Across the entries above, magnetization takes the values 0.13; 0.26; 0.15; 0.00 μB per atom, respectively.